KCoP3 | PBE | relaxed

The space group is Pm-3m (No. 221) and the conventional cell measures 5.0503, 5.0503 and 5.0503 Å, with angles of 90.00, 90.00 and 90.00 degrees. Symmetry generates all atoms from K at (0.0000, 0.0000, 0.0000), Co at (0.5000, 0.5000, 0.5000) and P at (0.0000, 0.0000, 0.5000).

The calculation puts the magnetic moment at 0.0 μB per cell. The calculation puts the offset from the most stable computed form at 218.16 kJ per mole of atoms. For the energy relative to the elements, the calculation gives 13.07 eV per formula unit. Its total energy is -2.2723 eV per atom.

---

LiTi2Zn2P2O10 | PBE | relaxed

The space group is P-1 (No. 2) and the conventional cell measures 5.4998, 5.5658 and 7.4248 Å, with angles of 107.26, 109.62 and 92.16 degrees. Symmetry generates all atoms from Li at (0.0000, 0.0000, 0.0000), Ti at (0.5000, 0.0000, 0.0000), Ti at (0.5000, 0.0000, 0.5000), Zn at (0.3492, 0.4267, 0.2664), P at (0.1462, 0.3948, 0.7692), O at (0.1513, 0.6972, 0.3614), O at (0.1818, 0.6874, 0.8599), O at (0.2244, 0.2670, 0.9377), O at (0.3202, 0.3161, 0.6387) and O at (0.3929, 0.0810, 0.2443).

The calculation puts the magnetic moment at 2.9 μB per cell. The calculation puts the offset from the most stable computed form at 0.00 kJ per mole of atoms. Its total energy is -6.8482 eV per atom.

---

LaMgH6Pt3 | PBE | relaxed

The space group is R3 (No. 146, hexagonal axes) and the conventional cell measures 7.1684, 7.1684 and 8.4286 Å, with angles of 90.00, 90.00 and 120.00 degrees. Symmetry generates all atoms from La at (0.0000, 0.0000, 0.0000), Mg at (0.0000, 0.0000, 0.6016), H at (0.0465, 0.6993, 0.8290), H at (0.0987, 0.4219, 0.4174) and Pt at (0.0794, 0.8277, 0.3483).

The calculation puts the magnetic moment at 0.0 μB per cell. Its total energy is -4.4441 eV per atom.

---

Cd2Si2Ge | PBE | relaxed

The space group is P4/mbm (No. 127) and the conventional cell measures 6.7778, 6.7778 and 4.4440 Å, with angles of 90.00, 90.00 and 90.00 degrees. Symmetry generates all atoms from Cd at (0.1886, 0.3114, 0.0000), Si at (0.1238, 0.6238, 0.5000) and Ge at (0.0000, 0.0000, 0.5000).

The calculation puts the magnetic moment at 0.0 μB per cell. The calculation puts the offset from the most stable computed form at 6.24 kJ per mole of atoms. Its total energy is -3.0812 eV per atom.

---

BaBeV | PBE | relaxed

The space group is P1 (No. 1) and the conventional cell measures 4.3893, 4.5756 and 9.9925 Å, with angles of 87.85, 87.73 and 61.59 degrees. Symmetry generates all atoms from Ba at (0.0000, 0.0000, 0.0000), Ba at (0.4327, 0.4664, 0.5932), Be at (0.2076, 0.4767, 0.2458), Be at (0.6917, 0.5001, 0.2455), V at (0.1634, 0.9924, 0.3302) and V at (0.7244, 0.9760, 0.3274).

The calculation puts the magnetic moment at 0.0 μB per cell. The calculation puts the offset from the most stable computed form at 5.96 kJ per mole of atoms. For the energy relative to the elements, the calculation gives 1.19 eV per formula unit. Its total energy is -4.5254 eV per atom.

---

HfMgZn2Bi | PBE | relaxed

The space group is P4/mmm (No. 123) and the conventional cell measures 5.2413, 5.2413 and 5.6006 Å, with angles of 90.00, 90.00 and 90.00 degrees. Symmetry generates all atoms from Hf at (0.0000, 0.0000, 0.0000), Mg at (0.5000, 0.5000, 0.5000), Zn at (0.0000, 0.5000, 0.0000) and Bi at (0.0000, 0.0000, 0.5000).

The calculation puts the magnetic moment at 0.0 μB per cell. For the energy relative to the elements, the calculation gives 2.97 eV per formula unit. Its total energy is -3.0020 eV per atom.

---

LaNi2Os | PBE | relaxed

The space group is Pm (No. 6) and the conventional cell measures 2.8795, 4.2837 and 5.4365 Å, with angles of 90.00, 103.33 and 90.00 degrees. Symmetry generates all atoms from La at (0.0000, 0.0000, 0.0000), Ni at (0.5997, 0.5000, 0.2364), Ni at (0.6755, 0.0000, 0.4984) and Os at (0.2729, 0.5000, 0.6216).

The calculation puts the magnetic moment at 0.0 μB per cell. The calculation puts the offset from the most stable computed form at 28.79 kJ per mole of atoms. For the energy relative to the elements, the calculation gives 0.65 eV per formula unit. Its total energy is -6.7667 eV per atom.

---

LiNbTe2 | PBE | relaxed

The space group is P2_1/m (No. 11) and the conventional cell measures 5.5795, 4.5465 and 7.7859 Å, with angles of 90.00, 107.09 and 90.00 degrees. Symmetry generates all atoms from Li at (0.2003, 0.2500, 0.0682), Nb at (0.1622, 0.2500, 0.5352), Te at (0.2422, 0.7500, 0.7941) and Te at (0.2786, 0.7500, 0.3307).

The calculation puts the magnetic moment at 0.0 μB per cell. Its total energy is -5.1281 eV per atom.